# Pm3WS2O6 | Alexandria via LeMat-Bulk | PBE with a Hubbard U | optimized geometry
# energy: -7.153 eV per atom
# magnetic moment: 1.0 μB per cell
# Fermi-level density of states: 4.62 states/eV/cell
# crystal system: monoclinic
data_Pm3WS2O6
_chemical_formula_sum 'Pm3 W1 S2 O6'
_cell_length_a 5.2304
_cell_length_b 6.7591
_cell_length_c 6.9460
_cell_angle_alpha 119.11
_cell_angle_beta 83.55
_cell_angle_gamma 90.00
_space_group_name_H-M_alt 'P 1'
_space_group_IT_number 1
loop_
_space_group_symop_operation_xyz
'x,y,z'
loop_
_atom_site_label
_atom_site_fract_x
_atom_site_fract_y
_atom_site_fract_z
_atom_site_occupancy
Pm1 0.0000 0.5000 0.0000 1
Pm2 0.5000 0.5000 0.5000 1
Pm3 0.5000 0.0000 0.5000 1
W1 0.5000 0.0000 0.0000 1
S1 0.1101 0.7092 0.4185 1
S2 0.8899 0.2908 0.5815 1
O1 0.7028 0.2774 0.1146 1
O2 0.2972 0.7226 0.8854 1
O3 0.6786 0.8488 0.6976 1
O4 0.3214 0.1512 0.3024 1
O5 0.2972 0.1628 0.8854 1
O6 0.7028 0.8372 0.1146 1